## NaCd2Ge (PBE)

Data for an optimized crystal structure of NaCd2Ge.

**Total DFT energy (no corrections)**: -1.9295 eV/atom
**Calculated volume**: 21.83 Å³/atom
**D(E_F)**: 0.367 states/eV/atom
**Energy of formation**: 0.012 eV per atom

abc: 4.4940 4.4940 4.3232
angles: 90.00 90.00 90.00
Space group P4/mmm (No. 123)
Inequivalent atoms, fractional coordinates:
Na 0.0000 0.0000 0.0000 (multiplicity 1)
Cd 0.0000 0.5000 0.5000 (multiplicity 2)
Ge 0.5000 0.5000 0.0000 (multiplicity 1)